A relaxed structure of V2NiIr3, computed with PBE-GGA.

Lattice parameters (Å, degrees): 6.901 5.474 6.901 88.32 39.32 91.68
Fractional positions:
V 0.143 0.000 0.143
V 0.148 0.500 0.148
V 0.857 0.000 0.857
V 0.852 0.500 0.852
Ni 0.729 0.178 0.271
Ni 0.271 0.822 0.729
Ir 0.745 0.689 0.255
Ir 0.306 0.752 0.322
Ir 0.322 0.248 0.306
Ir 0.678 0.752 0.694
Ir 0.694 0.248 0.678
Ir 0.255 0.311 0.745

Crystal system: monoclinic
DFT formation energy in eV/atom: -0.301
SG: No. 12

A relaxed structure of VNi4Ir2, computed with PBE-GGA.

Lattice parameters (Å, degrees): 8.779 4.796 4.844 119.67 90.00 90.00
Fractional positions:
V 0.000 0.000 0.000
V 0.500 0.500 0.000
Ni 0.775 0.508 0.000
Ni 0.750 0.504 0.500
Ni 0.750 0.004 0.500
Ni 0.725 0.008 0.000
Ni 0.275 0.992 0.000
Ni 0.250 0.996 0.500
Ni 0.250 0.496 0.500
Ni 0.225 0.492 0.000
Ir 0.000 0.682 0.365
Ir 0.000 0.318 0.635
Ir 0.500 0.818 0.635
Ir 0.500 0.182 0.365

Crystal system: orthorhombic
DFT formation energy in eV/atom: 0.069
SG: No. 64

no.,magnetic moment (μB/cell),density of states at the Fermi level (states/eV per atom)
1,0.00,0.941
2,2.98,1.807